The following is a PBE calculation of an optimized crystal structure of MgRh2Pb2, from the Alexandria database.

Cell: 7.3109 7.3109 3.7352 Å, 90.00 90.00 90.00°
Sites, in units of the cell vectors:
Pb1 0.1594 0.6594 0.5000
Pb2 0.6594 0.8406 0.5000
Pb3 0.8406 0.3406 0.5000
Pb4 0.3406 0.1594 0.5000
Mg1 0.0000 0.0000 0.0000
Mg2 0.5000 0.5000 0.0000
Rh1 0.3578 0.8578 0.0000
Rh2 0.8578 0.6422 0.0000
Rh3 0.6422 0.1422 0.0000
Rh4 0.1422 0.3578 0.0000

Results
energy relative to the elements	-0.123	eV/atom
crystal system	tetragonal
distance to the lowest polymorph of the same formula	8.7	kJ per mole of atoms
volume	19.96	Å³/atom
symmetry	No. 127

The following is a PBE calculation of an optimized crystal structure of Ce3Nd2YTe6, from the Alexandria database.

Cell: 7.7205 7.7205 7.7949 Å, 99.50 99.50 120.06°
Sites, in units of the cell vectors:
Ce1 0.1709 0.8291 0.5000
Ce2 0.8291 0.1709 0.5000
Ce3 0.5000 0.5000 0.5000
Nd1 0.3340 0.6660 0.0000
Nd2 0.6660 0.3340 0.0000
Y1 0.0000 0.0000 0.0000
Te1 0.9186 0.5921 0.7547
Te2 0.7574 0.7574 0.2497
Te3 0.0814 0.4079 0.2453
Te4 0.5921 0.9186 0.7547
Te5 0.2426 0.2426 0.7503
Te6 0.4079 0.0814 0.2453

Results
formation energy without anion corrections	-1.385	eV/atom
crystal system	monoclinic
volume	31.63	Å³/atom
symmetry	No. 12

| no. | total DFT energy (no corrections) (eV per cell) |
| --- | --- |
| 1 | -48.66 |
| 2 | -69.27 |